Compound: Er4ZnTc
Source: the Alexandria database
Functional: PBE-GGA
Structure: optimized geometry

Cell: 7.7770 7.7770 7.7770 Å, 106.38 106.38 115.84°
Atoms (fractional coordinates):
Er 0.1649 0.4695 0.6954
Er 0.2195 0.0241 0.8046
Er 0.2195 0.4149 0.1954
Er 0.2922 0.0000 0.2922
Er 0.7078 0.0000 0.7078
Er 0.7500 0.5422 0.7922
Er 0.7500 0.9578 0.2078
Er 0.7741 0.4695 0.3046
Zn 0.2373 0.7373 0.5000
Zn 0.4873 0.4873 0.0000
Tc 0.7320 0.2320 0.5000
Tc 0.9820 0.9820 0.0000

Properties
Formation energy in eV per atom: 0.1152
Excess energy over the best structure of this formula in the dataset in meV/atom: 307
Calculated density in g/cm3: 7.7
Total moment in Bohr magnetons per cell: 0.00
Final energy in eV/atom: -4.87